Record 1
A plane-wave DFT calculation with PBE was carried out for a relaxed structure of Tb2Nd3Se6.

Cell lengths 4.196, 4.196, 20.857 Å; angles 84.23, 84.23, 60.00 degrees
Positions (direct):
Se1 0.361 0.361 0.916
Se2 0.803 0.803 0.591
Se3 0.915 0.915 0.254
Se4 0.085 0.085 0.746
Se5 0.639 0.639 0.084
Se6 0.197 0.197 0.409
Nd1 0.000 0.000 0.000
Nd2 0.722 0.722 0.834
Nd3 0.278 0.278 0.166
Tb1 0.552 0.552 0.343
Tb2 0.448 0.448 0.657

Computed properties:
V in Å³ per cell: 315.9
Crystal system: trigonal
N(E_F) in states/eV per atom: 0.43



Record 2
A plane-wave DFT calculation with PBE was carried out for a relaxed structure of Tb6NdSe8.

Cell lengths 8.179, 8.179, 8.179 Å; angles 60.00, 60.00, 60.00 degrees
Positions (direct):
Tb1 0.000 0.500 0.000
Tb2 0.500 0.000 0.000
Tb3 0.000 0.000 0.500
Tb4 0.000 0.500 0.500
Tb5 0.500 0.500 0.000
Tb6 0.500 0.000 0.500
Se1 0.741 0.259 0.741
Se2 0.259 0.741 0.259
Se3 0.741 0.259 0.259
Se4 0.259 0.259 0.741
Se5 0.250 0.250 0.250
Se6 0.750 0.750 0.750
Se7 0.259 0.741 0.741
Se8 0.741 0.741 0.259
Nd1 0.000 0.000 0.000

Computed properties:
V in Å³ per cell: 386.9
Crystal system: cubic
N(E_F) in states/eV per atom: 0.40



Record 3
A plane-wave DFT calculation with PBE was carried out for a relaxed structure of Tb2Nd2Se5.

Cell lengths 7.784, 8.404, 8.404 Å; angles 124.59, 90.00, 90.00 degrees
Positions (direct):
Nd1 0.000 0.198 0.802
Nd2 0.500 0.302 0.698
Nd3 0.500 0.698 0.302
Nd4 0.000 0.802 0.198
Se1 0.346 0.706 0.977
Se2 0.654 0.023 0.294
Se3 0.346 0.977 0.706
Se4 0.000 0.000 0.000
Se5 0.654 0.294 0.023
Se6 0.846 0.523 0.794
Se7 0.500 0.500 0.500
Se8 0.154 0.206 0.477
Se9 0.154 0.477 0.206
Se10 0.846 0.794 0.523
Tb1 0.157 0.651 0.651
Tb2 0.843 0.349 0.349
Tb3 0.343 0.151 0.151
Tb4 0.657 0.849 0.849

Computed properties:
V in Å³ per cell: 452.6
Crystal system: orthorhombic
N(E_F) in states/eV per atom: 0.73



Record 4
A plane-wave DFT calculation with PBE was carried out for a relaxed structure of Tb2NdSe.

Cell lengths 3.748, 3.748, 10.698 Å; angles 79.91, 79.91, 60.00 degrees
Last column: magnetic moment on the atom in μB.
Positions (direct):
Tb1 0.109 0.109 0.672  0.04
Tb2 0.891 0.891 0.328  0.04
Se1 0.500 0.500 0.500  0.00
Nd1 0.000 0.000 0.000  0.18

Computed properties:
V in Å³ per cell: 127.5
Crystal system: trigonal
N(E_F) in states/eV per atom: 1.34



Record 5
A plane-wave DFT calculation with PBE was carried out for a relaxed structure of TbNd4Se7.

Cell lengths 4.091, 7.198, 12.469 Å; angles 104.24, 90.00, 106.51 degrees
Positions (direct):
Tb1 0.887 0.774 0.577
Nd1 0.699 0.398 0.808
Nd2 0.112 0.224 0.424
Nd3 0.000 0.999 0.998
Nd4 0.301 0.602 0.191
Se1 0.338 0.677 0.949
Se2 0.960 0.921 0.216
Se3 0.265 0.530 0.648
Se4 0.496 0.992 0.503
Se5 0.038 0.076 0.780
Se6 0.660 0.321 0.050
Se7 0.743 0.485 0.355

Computed properties:
V in Å³ per cell: 340.3
Crystal system: monoclinic
N(E_F) in states/eV per atom: 0.12



Record 6
A plane-wave DFT calculation with PBE was carried out for a relaxed structure of Tb4NdSe6.

Cell lengths 4.046, 7.031, 20.906 Å; angles 90.00, 90.00, 106.72 degrees
Positions (direct):
Se1 0.768 0.536 0.409
Se2 0.050 0.101 0.165
Se3 0.500 0.000 0.500
Se4 0.950 0.899 0.665
Se5 0.768 0.536 0.091
Se6 0.950 0.899 0.835
Se7 0.684 0.369 0.750
Se8 0.500 0.000 0.000
Se9 0.050 0.101 0.335
Se10 0.232 0.464 0.909
Se11 0.232 0.464 0.591
Se12 0.316 0.631 0.250
Tb1 0.410 0.820 0.374
Tb2 0.590 0.180 0.626
Tb3 0.140 0.281 0.462
Tb4 0.140 0.281 0.038
Tb5 0.860 0.719 0.962
Tb6 0.860 0.719 0.538
Tb7 0.410 0.820 0.126
Tb8 0.590 0.180 0.874
Nd1 0.654 0.309 0.250
Nd2 0.346 0.691 0.750

Computed properties:
V in Å³ per cell: 569.6
Crystal system: orthorhombic
N(E_F) in states/eV per atom: 0.27



Record 7
A plane-wave DFT calculation with PBE was carried out for a relaxed structure of Tb4Nd3Se8.

Cell lengths 8.278, 8.295, 8.295 Å; angles 90.02, 119.90, 119.90 degrees
Positions (direct):
Nd1 0.500 0.500 0.000
Nd2 0.500 0.500 0.500
Nd3 0.500 0.000 0.500
Se1 0.501 0.754 0.754
Se2 0.000 0.750 0.250
Se3 0.499 0.246 0.246
Se4 0.993 0.247 0.247
Se5 0.000 0.250 0.750
Se6 0.500 0.754 0.246
Se7 0.500 0.246 0.754
Se8 0.007 0.753 0.753
Tb1 0.500 0.000 0.000
Tb2 0.000 0.500 0.000
Tb3 0.000 0.000 0.000
Tb4 0.000 0.000 0.500

Computed properties:
V in Å³ per cell: 403.9
Crystal system: monoclinic
N(E_F) in states/eV per atom: 0.44



Record 8
A plane-wave DFT calculation with PBE was carried out for a relaxed structure of Tb3NdSe6.

Cell lengths 4.158, 11.655, 11.960 Å; angles 109.03, 90.00, 90.00 degrees
Positions (direct):
Tb1 0.250 0.563 0.167
Tb2 0.750 0.159 0.085
Tb3 0.250 0.841 0.915
Tb4 0.250 0.319 0.499
Tb5 0.750 0.437 0.833
Tb6 0.750 0.681 0.501
Se1 0.750 0.805 0.750
Se2 0.250 0.884 0.535
Se3 0.250 0.195 0.250
Se4 0.750 0.395 0.060
Se5 0.250 0.519 0.386
Se6 0.750 0.116 0.465
Se7 0.750 0.481 0.614
Se8 0.750 0.741 0.275
Se9 0.750 0.916 0.096
Se10 0.250 0.605 0.940
Se11 0.250 0.084 0.904
Se12 0.250 0.259 0.725
Nd1 0.250 0.954 0.306
Nd2 0.750 0.046 0.694

Computed properties:
V in Å³ per cell: 548.0
Crystal system: monoclinic



Number 1: calculated density 6.44 Mg/m³, E_form (uncorrected) -1.8224 eV per atom, energy -64.5 eV per cell. Number 2: calculated density 7.42 Mg/m³, E_form (uncorrected) -1.8435 eV per atom, energy -88.1 eV per cell. Number 3: calculated density 7.35 Mg/m³, E_form (uncorrected) -1.7718 eV per atom, energy -104.3 eV per cell. Number 4: calculated density 7.05 Mg/m³, E_form (uncorrected) -0.5873 eV per atom, energy -19.9 eV per cell. Number 5: calculated density 6.29 Mg/m³, E_form (uncorrected) -1.8832 eV per atom, energy -70.7 eV per cell. Number 6: calculated density 7.31 Mg/m³, E_form (uncorrected) -1.8473 eV per atom, energy -129.0 eV per cell. Number 7: calculated density 6.99 Mg/m³, E_form (uncorrected) -1.8546 eV per atom, energy -88.5 eV per cell. Number 8: calculated density 6.64 Mg/m³, E_form (uncorrected) -1.8920 eV per atom, energy -117.0 eV per cell.